[1]
# HfThGa3, relaxed, DFT GGA-PBE
data_HfThGa3
_cell_length_a 4.1069
_cell_length_b 25.1152
_cell_length_c 4.0857
_cell_angle_alpha 90.00
_cell_angle_beta 90.00
_cell_angle_gamma 90.00
_symmetry_space_group_name_H-M 'C m c m'
_symmetry_Int_Tables_number 63
_symmetry_space_group_name_Hall '-C 2c 2'
loop_
_atom_site_label
_atom_site_fract_x
_atom_site_fract_y
_atom_site_fract_z
Hf1 0.0000 0.2071 0.2500
Th1 0.0000 0.0760 0.7500
Ga1 0.0000 0.3158 0.2500
Ga2 0.0000 0.3742 0.7500
Ga3 0.0000 0.4741 0.7500
# crystal system: orthorhombic
# E: -116.340 eV/cell
# spin magnetization: 0.000 μB/atom
# calculated formation energy: -0.53 eV per atom

[2]
# CrGaHg2, relaxed, DFT GGA-PBE
data_CrGaHg2
_cell_length_a 7.7456
_cell_length_b 7.7456
_cell_length_c 5.8548
_cell_angle_alpha 90.00
_cell_angle_beta 90.00
_cell_angle_gamma 90.00
_symmetry_space_group_name_H-M 'I -4 2 d'
_symmetry_Int_Tables_number 122
_symmetry_space_group_name_Hall 'I -4 2bw'
loop_
_atom_site_label
_atom_site_fract_x
_atom_site_fract_y
_atom_site_fract_z
Cr1 0.0000 0.0000 0.0000
Ga1 0.0000 0.0000 0.5000
Hg1 0.2459 0.7500 0.6250
# crystal system: tetragonal
# E: -46.225 eV/cell
# spin magnetization: 0.993 μB/atom
# calculated formation energy: 0.42 eV per atom

[3]
# CaTmSb2O8, relaxed, DFT GGA-PBE
data_CaTmSb2O8
_cell_length_a 5.2867
_cell_length_b 5.2867
_cell_length_c 11.0860
_cell_angle_alpha 90.00
_cell_angle_beta 90.00
_cell_angle_gamma 90.00
_symmetry_space_group_name_H-M 'I -4'
_symmetry_Int_Tables_number 82
_symmetry_space_group_name_Hall 'I -4'
loop_
_atom_site_label
_atom_site_fract_x
_atom_site_fract_y
_atom_site_fract_z
Ca1 0.0000 0.0000 0.0000
Tm1 0.0000 0.5000 0.7500
Sb1 0.0000 0.0000 0.5000
Sb2 0.0000 0.5000 0.2500
O1 0.1794 0.2500 0.5938
O2 0.1943 0.7464 0.1616
# crystal system: tetragonal
# E: -157.251 eV/cell
# spin magnetization: 0.090 μB/atom

[4]
# Ac6AgIr2Pd, relaxed, DFT GGA-PBE
data_Ac6AgIr2Pd
_cell_length_a 7.7709
_cell_length_b 7.7709
_cell_length_c 20.8319
_cell_angle_alpha 90.00
_cell_angle_beta 90.00
_cell_angle_gamma 120.00
_symmetry_space_group_name_H-M 'R 3'
_symmetry_Int_Tables_number 146
_symmetry_space_group_name_Hall 'R 3'
loop_
_atom_site_label
_atom_site_fract_x
_atom_site_fract_y
_atom_site_fract_z
Ac1 0.0267 0.3392 0.0000
Ac2 0.0532 0.7093 0.4979
Ag1 0.0000 0.0000 0.2260
Ir1 0.0000 0.0000 0.4178
Ir2 0.0000 0.0000 0.9235
Pd1 0.0000 0.0000 0.7335
# crystal system: trigonal
# E: -166.485 eV/cell
# spin magnetization: 0.000 μB/atom
# calculated formation energy: -0.51 eV per atom

[5]
# Tl3BS, relaxed, DFT GGA-PBE
data_Tl3BS
_cell_length_a 4.9294
_cell_length_b 4.9294
_cell_length_c 4.9294
_cell_angle_alpha 90.00
_cell_angle_beta 90.00
_cell_angle_gamma 90.00
_symmetry_space_group_name_H-M 'P m -3 m'
_symmetry_Int_Tables_number 221
_symmetry_space_group_name_Hall '-P 4 2 3'
loop_
_atom_site_label
_atom_site_fract_x
_atom_site_fract_y
_atom_site_fract_z
Tl1 0.0000 0.0000 0.5000
B1 0.0000 0.0000 0.0000
S1 0.5000 0.5000 0.5000
# crystal system: cubic
# E: -15.665 eV/cell
# spin magnetization: 0.000 μB/atom

[6]
# BaTl2CdIn, relaxed, DFT GGA-PBE
data_BaTl2CdIn
_cell_length_a 5.0487
_cell_length_b 5.0487
_cell_length_c 12.6037
_cell_angle_alpha 90.00
_cell_angle_beta 90.00
_cell_angle_gamma 90.00
_symmetry_space_group_name_H-M 'I -4 m 2'
_symmetry_Int_Tables_number 119
_symmetry_space_group_name_Hall 'I -4 -2'
loop_
_atom_site_label
_atom_site_fract_x
_atom_site_fract_y
_atom_site_fract_z
Ba1 0.0000 0.0000 0.0000
Tl1 0.0000 0.0000 0.3821
Cd1 0.0000 0.5000 0.7500
In1 0.0000 0.5000 0.2500
# crystal system: tetragonal
# E: -23.186 eV/cell
# spin magnetization: 0.000 μB/atom
# calculated formation energy: -0.26 eV per atom

[7]
# LiSbPb2O4, relaxed, DFT GGA-PBE
data_LiSbPb2O4
_cell_length_a 8.9435
_cell_length_b 6.2689
_cell_length_c 5.8450
_cell_angle_alpha 90.00
_cell_angle_beta 90.00
_cell_angle_gamma 90.00
_symmetry_space_group_name_H-M 'P m n 21'
_symmetry_Int_Tables_number 31
_symmetry_space_group_name_Hall 'P 2ac -2'
loop_
_atom_site_label
_atom_site_fract_x
_atom_site_fract_y
_atom_site_fract_z
Li1 0.0000 0.1778 0.0000
Sb1 0.0000 0.7755 0.5169
Pb1 0.2127 0.2724 0.4809
O1 0.0000 0.2977 0.2893
O2 0.0000 0.9980 0.7515
O3 0.1699 0.6032 0.6426
# crystal system: orthorhombic
# E: -87.105 eV/cell
# spin magnetization: 0.000 μB/atom

[8]
# IrOF2, relaxed, DFT GGA-PBE
data_IrOF2
_cell_length_a 8.0798
_cell_length_b 8.0798
_cell_length_c 3.6522
_cell_angle_alpha 90.00
_cell_angle_beta 90.00
_cell_angle_gamma 90.00
_symmetry_space_group_name_H-M 'I -4 2 d'
_symmetry_Int_Tables_number 122
_symmetry_space_group_name_Hall 'I -4 2bw'
loop_
_atom_site_label
_atom_site_fract_x
_atom_site_fract_y
_atom_site_fract_z
Ir1 0.0000 0.0000 0.0000
O1 0.0000 0.0000 0.5000
F1 0.0687 0.7500 0.1250
# crystal system: tetragonal
# E: -83.750 eV/cell
# spin magnetization: 0.000 μB/atom

[9]
# Hg2OsPtRh, relaxed, DFT GGA-PBE
data_Hg2OsPtRh
_cell_length_a 5.1420
_cell_length_b 5.1420
_cell_length_c 4.6238
_cell_angle_alpha 90.00
_cell_angle_beta 90.00
_cell_angle_gamma 90.00
_symmetry_space_group_name_H-M 'P 4/m m m'
_symmetry_Int_Tables_number 123
_symmetry_space_group_name_Hall '-P 4 2'
loop_
_atom_site_label
_atom_site_fract_x
_atom_site_fract_y
_atom_site_fract_z
Hg1 0.0000 0.5000 0.0000
Os1 0.0000 0.0000 0.0000
Pt1 0.5000 0.5000 0.5000
Rh1 0.0000 0.0000 0.5000
# crystal system: tetragonal
# E: -17.967 eV/cell
# spin magnetization: 0.000 μB/atom
# calculated formation energy: 1.45 eV per atom

[10]
# ZnCuPt14, relaxed, DFT GGA-PBE
data_ZnCuPt14
_cell_length_a 9.2534
_cell_length_b 5.5548
_cell_length_c 9.6245
_cell_angle_alpha 90.00
_cell_angle_beta 90.00
_cell_angle_gamma 90.00
_symmetry_space_group_name_H-M 'A m m 2'
_symmetry_Int_Tables_number 38
_symmetry_space_group_name_Hall 'A 2 -2'
loop_
_atom_site_label
_atom_site_fract_x
_atom_site_fract_y
_atom_site_fract_z
Zn1 0.0000 0.0000 0.0000
Cu1 0.0000 0.0000 0.5013
Pt1 0.0000 0.2504 0.2514
Pt2 0.2425 0.2497 0.4152
Pt3 0.2448 0.0000 0.1633
Pt4 0.2446 0.0000 0.6630
Pt5 0.5000 0.0000 0.3278
Pt6 0.5000 0.0000 0.8277
Pt7 0.5000 0.2500 0.0775
# crystal system: orthorhombic
# E: -182.794 eV/cell
# spin magnetization: 0.000 μB/atom
# calculated formation energy: -0.09 eV per atom

[11]
# LiGa3O4, relaxed, DFT GGA-PBE
data_LiGa3O4
_cell_length_a 4.5211
_cell_length_b 4.5211
_cell_length_c 10.2013
_cell_angle_alpha 90.00
_cell_angle_beta 90.00
_cell_angle_gamma 90.00
_symmetry_space_group_name_H-M 'I -4 2 m'
_symmetry_Int_Tables_number 121
_symmetry_space_group_name_Hall 'I -4 2'
loop_
_atom_site_label
_atom_site_fract_x
_atom_site_fract_y
_atom_site_fract_z
Li1 0.0000 0.0000 0.0000
Ga1 0.0000 0.0000 0.5000
Ga2 0.0000 0.5000 0.2500
O1 0.2269 0.2269 0.8508
# crystal system: tetragonal
# E: -86.680 eV/cell
# spin magnetization: 0.000 μB/atom

[12]
# CaInPd2, relaxed, DFT GGA-PBE
data_CaInPd2
_cell_length_a 4.4714
_cell_length_b 4.4714
_cell_length_c 18.3845
_cell_angle_alpha 90.00
_cell_angle_beta 90.00
_cell_angle_gamma 90.00
_symmetry_space_group_name_H-M 'I -4 2 d'
_symmetry_Int_Tables_number 122
_symmetry_space_group_name_Hall 'I -4 2bw'
loop_
_atom_site_label
_atom_site_fract_x
_atom_site_fract_y
_atom_site_fract_z
Ca1 0.0000 0.0000 0.0000
In1 0.0000 0.0000 0.5000
Pd1 0.1997 0.2500 0.6250
# crystal system: tetragonal
# E: -64.233 eV/cell
# spin magnetization: 0.000 μB/atom
# calculated formation energy: -0.23 eV per atom

[13]
# Ta2CrAgSn, relaxed, DFT GGA-PBE
data_Ta2CrAgSn
_cell_length_a 4.9305
_cell_length_b 4.9305
_cell_length_c 4.7884
_cell_angle_alpha 90.00
_cell_angle_beta 90.00
_cell_angle_gamma 90.00
_symmetry_space_group_name_H-M 'P 4/m m m'
_symmetry_Int_Tables_number 123
_symmetry_space_group_name_Hall '-P 4 2'
loop_
_atom_site_label
_atom_site_fract_x
_atom_site_fract_y
_atom_site_fract_z
Ta1 0.0000 0.5000 0.0000
Cr1 0.0000 0.0000 0.5000
Ag1 0.0000 0.0000 0.0000
Sn1 0.5000 0.5000 0.5000
# crystal system: tetragonal
# E: -32.134 eV/cell
# spin magnetization: 0.562 μB/atom
# calculated formation energy: 1.61 eV per atom

[14]
# As2PtNF, relaxed, DFT GGA-PBE
data_As2PtNF
_cell_length_a 4.3647
_cell_length_b 4.3647
_cell_length_c 3.6273
_cell_angle_alpha 90.00
_cell_angle_beta 90.00
_cell_angle_gamma 90.00
_symmetry_space_group_name_H-M 'P 4/m m m'
_symmetry_Int_Tables_number 123
_symmetry_space_group_name_Hall '-P 4 2'
loop_
_atom_site_label
_atom_site_fract_x
_atom_site_fract_y
_atom_site_fract_z
As1 0.0000 0.5000 0.0000
Pt1 0.0000 0.0000 0.5000
N1 0.5000 0.5000 0.0000
F1 0.5000 0.5000 0.5000
# crystal system: tetragonal
# E: -23.466 eV/cell
# spin magnetization: 0.000 μB/atom

[15]
# Ac2PS2O4, relaxed, DFT GGA-PBE
data_Ac2PS2O4
_cell_length_a 6.0108
_cell_length_b 6.0108
_cell_length_c 7.7856
_cell_angle_alpha 90.00
_cell_angle_beta 90.00
_cell_angle_gamma 90.00
_symmetry_space_group_name_H-M 'I 4/m m m'
_symmetry_Int_Tables_number 139
_symmetry_space_group_name_Hall '-I 4 2'
loop_
_atom_site_label
_atom_site_fract_x
_atom_site_fract_y
_atom_site_fract_z
Ac1 0.0000 0.5000 0.2500
P1 0.0000 0.0000 0.0000
S1 0.0000 0.0000 0.3083
O1 0.1967 0.1967 0.0000
# crystal system: tetragonal
# E: -120.562 eV/cell
# spin magnetization: 0.000 μB/atom

[16]
# TlZnCu2, relaxed, DFT GGA-PBE
data_TlZnCu2
_cell_length_a 8.5971
_cell_length_b 3.5947
_cell_length_c 4.5585
_cell_angle_alpha 90.00
_cell_angle_beta 106.11
_cell_angle_gamma 90.00
_symmetry_space_group_name_H-M 'C 1 m 1'
_symmetry_Int_Tables_number 8
_symmetry_space_group_name_Hall 'C -2y'
loop_
_atom_site_label
_atom_site_fract_x
_atom_site_fract_y
_atom_site_fract_z
Tl1 0.0000 0.0000 0.0000
Zn1 0.2750 0.5000 0.3372
Cu1 0.0061 0.5000 0.5115
Cu2 0.2331 0.0000 0.6953
# crystal system: monoclinic
# E: -21.958 eV/cell
# spin magnetization: 0.000 μB/atom
# calculated formation energy: 0.21 eV per atom

[17]
# ThSc2Pd9, relaxed, DFT GGA-PBE
data_ThSc2Pd9
_cell_length_a 4.1009
_cell_length_b 4.1009
_cell_length_c 12.1146
_cell_angle_alpha 90.00
_cell_angle_beta 90.00
_cell_angle_gamma 90.00
_symmetry_space_group_name_H-M 'P 4/m m m'
_symmetry_Int_Tables_number 123
_symmetry_space_group_name_Hall '-P 4 2'
loop_
_atom_site_label
_atom_site_fract_x
_atom_site_fract_y
_atom_site_fract_z
Th1 0.0000 0.0000 0.0000
Sc1 0.0000 0.0000 0.3414
Pd1 0.0000 0.5000 0.1756
Pd2 0.0000 0.5000 0.5000
Pd3 0.5000 0.5000 0.0000
Pd4 0.5000 0.5000 0.3378
# crystal system: tetragonal
# E: -77.485 eV/cell
# spin magnetization: 0.000 μB/atom
# calculated formation energy: -0.89 eV per atom

[18]
# AsPH, relaxed, DFT GGA-PBE
data_AsPH
_cell_length_a 9.1833
_cell_length_b 9.1833
_cell_length_c 4.4426
_cell_angle_alpha 90.00
_cell_angle_beta 90.00
_cell_angle_gamma 90.00
_symmetry_space_group_name_H-M 'P 42/m b c'
_symmetry_Int_Tables_number 135
_symmetry_space_group_name_Hall '-P 4c 2ab'
loop_
_atom_site_label
_atom_site_fract_x
_atom_site_fract_y
_atom_site_fract_z
As1 0.0513 0.2888 0.0000
P1 0.0824 0.7847 0.5000
H1 0.0209 0.0986 0.5000
# crystal system: tetragonal
# E: -101.482 eV/cell
# spin magnetization: 0.000 μB/atom

[19]
# CePmTm2N4, relaxed, DFT GGA-PBE
data_CePmTm2N4
_cell_length_a 6.0464
_cell_length_b 3.4958
_cell_length_c 6.0510
_cell_angle_alpha 90.00
_cell_angle_beta 109.28
_cell_angle_gamma 90.00
_symmetry_space_group_name_H-M 'P 1 2/m 1'
_symmetry_Int_Tables_number 10
_symmetry_space_group_name_Hall '-P 2y'
loop_
_atom_site_label
_atom_site_fract_x
_atom_site_fract_y
_atom_site_fract_z
Ce1 0.0000 0.0000 0.0000
Pm1 0.5000 0.5000 0.0000
Tm1 0.0000 0.5000 0.5000
Tm2 0.5000 0.0000 0.5000
N1 0.2399 0.0000 0.7402
N2 0.2485 0.5000 0.2590
# crystal system: monoclinic
# E: -65.932 eV/cell
# spin magnetization: 0.025 μB/atom

[20]
# PmZn2SiRh, relaxed, DFT GGA-PBE
data_PmZn2SiRh
_cell_length_a 3.9244
_cell_length_b 4.1954
_cell_length_c 10.8687
_cell_angle_alpha 90.00
_cell_angle_beta 90.00
_cell_angle_gamma 90.00
_symmetry_space_group_name_H-M 'I m m 2'
_symmetry_Int_Tables_number 44
_symmetry_space_group_name_Hall 'I 2 -2'
loop_
_atom_site_label
_atom_site_fract_x
_atom_site_fract_y
_atom_site_fract_z
Pm1 0.0000 0.0000 0.0000
Zn1 0.0000 0.0000 0.6161
Zn2 0.0000 0.5000 0.2599
Si1 0.0000 0.0000 0.3879
Rh1 0.0000 0.5000 0.7630
# crystal system: orthorhombic
# E: -45.921 eV/cell
# spin magnetization: 0.000 μB/atom

[21]
# Cs2TmInI6, relaxed, DFT GGA-PBE
data_Cs2TmInI6
_cell_length_a 8.6914
_cell_length_b 9.1267
_cell_length_c 15.2715
_cell_angle_alpha 90.00
_cell_angle_beta 124.50
_cell_angle_gamma 90.00
_symmetry_space_group_name_H-M 'P 1 21/c 1'
_symmetry_Int_Tables_number 14
_symmetry_space_group_name_Hall '-P 2ybc'
loop_
_atom_site_label
_atom_site_fract_x
_atom_site_fract_y
_atom_site_fract_z
Cs1 0.2279 0.0712 0.2511
Tm1 0.5000 0.0000 0.0000
In1 0.0000 0.0000 0.5000
I1 0.1765 0.1826 0.9601
I2 0.2798 0.7224 0.9606
I3 0.3475 0.0120 0.7674
# crystal system: monoclinic
# E: -62.194 eV/cell
# spin magnetization: 0.000 μB/atom

[22]
# La2Tb3Pm8, relaxed, DFT GGA-PBE
data_La2Tb3Pm8
_cell_length_a 13.3112
_cell_length_b 11.8938
_cell_length_c 6.2152
_cell_angle_alpha 90.00
_cell_angle_beta 114.18
_cell_angle_gamma 90.00
_symmetry_space_group_name_H-M 'C 1 2/m 1'
_symmetry_Int_Tables_number 12
_symmetry_space_group_name_Hall '-C 2y'
loop_
_atom_site_label
_atom_site_fract_x
_atom_site_fract_y
_atom_site_fract_z
La1 0.2180 0.0000 0.3296
Tb1 0.0000 0.2543 0.0000
Tb2 0.0000 0.5000 0.5000
Pm1 0.0505 0.0000 0.7779
Pm2 0.1515 0.5000 0.0643
Pm3 0.1651 0.2426 0.6638
# crystal system: monoclinic
# E: -119.263 eV/cell
# spin magnetization: 0.000 μB/atom
# calculated formation energy: 0.16 eV per atom

Record order is preserved below.
Volume: 421.4 351.3 309.8 1089.2 119.8 321.3 327.7 238.4 122.3 494.7 208.5 367.6 116.4 69.1 281.3 135.3 203.7 374.7 120.7 178.9 998.3 897.7 Å³ per cell